# 1
A relaxed structure of Y3AuI. Source: Alexandria, functional PBE-GGA.

abc: 5.5925 5.5925 5.5925
angles: 90.00 90.00 90.00
Last column: nearest neighbours and their distance in Å.
Element x y z (fractional)
Y: 0.0000 0.0000 0.5000  2 Au 2.80
Y: 0.0000 0.5000 0.0000  2 Au 2.80
Y: 0.5000 0.0000 0.0000  2 Au 2.80
Au: 0.0000 0.0000 0.0000  6 Y 2.80
I: 0.5000 0.5000 0.5000  12 Y 3.95

theoretical density: 5.61 g/cm³
energy relative to the lowest polymorph listed for this composition: 0 meV per atom
formation energy from raw total energies: -1.2 eV/f.u.
total energy: -5.090 eV/atom


# 2
A relaxed structure of MnCo2NiW. Source: Alexandria, functional PBE-GGA.

abc: 4.3640 4.3640 4.4688
angles: 90.00 90.00 90.00
Last column: nearest neighbours and their distance in Å.
Element x y z (fractional)
Mn: 0.0000 0.0000 0.0000  4 Ni 3.09, 8 Co 3.12
Co: 0.0000 0.5000 0.5000  2 W 2.18
Co: 0.5000 0.0000 0.5000  2 W 2.18
Ni: 0.5000 0.5000 0.0000  2 W 2.23
W: 0.5000 0.5000 0.5000  4 Co 2.18, 2 Ni 2.23

theoretical density: 8.10 g/cm³
DFT formation energy: 1884 meV per atom
total energy: -6.539 eV/atom


# 3
A relaxed structure of LaCuRe. Source: Alexandria, functional PBE-GGA.

abc: 4.6800 4.6800 4.6800
angles: 60.00 60.00 60.00
Last column: nearest neighbours and their distance in Å.
Element x y z (fractional)
La: 0.0000 0.0000 0.0000  4 Cu 2.87, 4 Re 2.87
Cu: 0.7500 0.7500 0.7500  4 La 2.87
Re: 0.2500 0.2500 0.2500  4 La 2.87

theoretical density: 8.90 g/cm³
DFT formation energy: 1481 meV per atom
energy relative to the lowest polymorph listed for this composition: 1033 meV per atom
total energy: -5.676 eV/atom


# 4
A relaxed structure of NbSb3N. Source: Alexandria, functional PBE-GGA.

abc: 4.6459 4.6459 4.6459
angles: 90.00 90.00 90.00
Last column: nearest neighbours and their distance in Å.
Element x y z (fractional)
Nb: 0.0000 0.0000 0.0000  12 Sb 3.29
Sb: 0.0000 0.5000 0.5000  2 N 2.32
Sb: 0.5000 0.0000 0.5000  2 N 2.32
Sb: 0.5000 0.5000 0.0000  2 N 2.32
N: 0.5000 0.5000 0.5000  6 Sb 2.32

theoretical density: 7.82 g/cm³
energy relative to the lowest polymorph listed for this composition: 0 meV per atom
formation energy from raw total energies: 3.3 eV/f.u.
total energy: -5.496 eV/atom


# 5
A relaxed structure of KMgIn2. Source: Alexandria, functional PBE-GGA.

abc: 5.5453 5.5453 7.1793
angles: 96.18 96.18 34.11
Last column: nearest neighbours and their distance in Å.
Element x y z (fractional)
K: 0.0000 0.0000 0.0000  2 K 3.25, 3 In 3.48-3.62, 1 Mg 3.59
Mg: 0.2329 0.2329 0.6741  5 In 3.12-3.25, 2 Mg 3.25
In: 0.4942 0.4942 0.5119  3 Mg 3.12, 5 In 3.25-3.37
In: 0.7571 0.7571 0.2885  2 Mg 3.25, 5 In 3.25-3.37, 3 K 3.48-3.62

theoretical density: 3.96 g/cm³
DFT formation energy: 22 meV per atom
total energy: -2.020 eV/atom


# 6
A relaxed structure of LaNbO4F. Source: Alexandria, functional PBE-GGA.

abc: 6.3561 6.3561 6.9802
angles: 98.14 98.14 73.60
Last column: nearest neighbours and their distance in Å.
Element x y z (fractional)
La: 0.1938 0.1938 0.0838  2 F 2.36-2.38, 6 O 2.47-2.64
La: 0.8062 0.8062 0.9162  2 F 2.36-2.38, 6 O 2.47-2.64
Nb: 0.3768 0.3768 0.7098  4 O 1.86-1.89
Nb: 0.6232 0.6232 0.2902  4 O 1.86-1.89
O: 0.1280 0.4956 0.8420  1 Nb 1.86
O: 0.3087 0.3087 0.4398  1 Nb 1.89, 1 O 2.04
O: 0.4350 0.4350 0.2435  1 Nb 1.89, 1 O 2.04
O: 0.4956 0.1280 0.8420  1 Nb 1.86
O: 0.5044 0.8720 0.1580  1 Nb 1.86
O: 0.5650 0.5650 0.7565  1 Nb 1.89, 1 O 2.04
O: 0.6913 0.6913 0.5602  1 Nb 1.89, 1 O 2.04
O: 0.8720 0.5044 0.1580  1 Nb 1.86
F: 0.0154 0.0154 0.8133  2 La 2.36-2.38
F: 0.9846 0.9846 0.1867  2 La 2.36-2.38

theoretical density: 3.93 g/cm³
formation energy from raw total energies: -19.3 eV/f.u.
total energy: -7.998 eV/atom